Crystalline Zn2SbIr at its relaxed geometry, computed with PBEsol.

Values from the calculation:
- Raw formation energy: -9 meV per atom
- Distance to the lowest polymorph of the same formula: 0 meV/atom

Cell lengths 4.1085, 3.2009, 10.0931 Å; angles 90.00, 90.00, 90.00 degrees
Space group Amm2 (No. 38)
Symmetry-distinct sites (fractional):
Zn (0.0000, 0.0000, 0.0000) [2 per cell]
Zn (0.5000, 0.0000, 0.4337) [2 per cell]
Sb (0.5000, 0.0000, 0.6896) [2 per cell]
Ir (0.0000, 0.0000, 0.2804) [2 per cell]



Crystalline MgZrAg3 at its relaxed geometry, computed with PBEsol.

Values from the calculation:
- Energy of formation from the pure elements: 675 meV per atom

Cell lengths 4.6973, 4.6973, 4.6973 Å; angles 90.00, 90.00, 90.00 degrees
Space group Pm-3m (No. 221)
Symmetry-distinct sites (fractional):
Mg (0.0000, 0.0000, 0.0000) [1 per cell]
Zr (0.5000, 0.5000, 0.5000) [1 per cell]
Ag (0.0000, 0.0000, 0.5000) [3 per cell]



Crystalline BeCu2 at its relaxed geometry, computed with PBEsol.

Values from the calculation:
- Energy of formation from the pure elements: -69 meV per atom

Cell lengths 6.3495, 6.3495, 2.5987 Å; angles 90.00, 90.00, 120.00 degrees
Space group P-62m (No. 189)
Symmetry-distinct sites (fractional):
Be (0.0000, 0.0000, 0.0000) [1 per cell]
Be (0.3333, 0.6667, 0.5000) [2 per cell]
Cu (0.0000, 0.3759, 0.0000) [3 per cell]
Cu (0.0000, 0.7131, 0.5000) [3 per cell]



Crystalline La2InSe at its relaxed geometry, computed with PBEsol.

Values from the calculation:
- Raw formation energy: -1015 meV per atom
- Distance to the lowest polymorph of the same formula: 146 meV/atom

Cell lengths 3.7998, 3.9119, 16.3975 Å; angles 90.00, 90.00, 90.00 degrees
Space group Imm2 (No. 44)
Symmetry-distinct sites (fractional):
La (0.0000, 0.0000, 0.0000) [2 per cell]
La (0.0000, 0.5000, 0.2227) [2 per cell]
In (0.0000, 0.0000, 0.3850) [2 per cell]
Se (0.0000, 0.5000, 0.6429) [2 per cell]



Crystalline TaW at its relaxed geometry, computed with PBEsol.

Values from the calculation:
- Energy of formation from the pure elements: 985 meV per atom

Cell lengths 4.1527, 4.1527, 5.1830 Å; angles 90.00, 90.00, 120.00 degrees
Space group P6_3/mmc (No. 194)
Symmetry-distinct sites (fractional):
Ta (0.3333, 0.6667, 0.2500) [2 per cell]
W (0.0000, 0.0000, 0.0000) [2 per cell]



Crystalline LiLa2Rh at its relaxed geometry, computed with PBEsol.

Values from the calculation:
- Energy of formation from the pure elements: -203 meV per atom

Cell lengths 4.1892, 4.1892, 19.9463 Å; angles 90.00, 90.00, 120.00 degrees
Space group R3m (No. 160, hexagonal axes)
Symmetry-distinct sites (fractional):
Li (0.0000, 0.0000, 0.0000) [3 per cell]
La (0.0000, 0.0000, 0.5760) [3 per cell]
La (0.0000, 0.0000, 0.7618) [3 per cell]
Rh (0.0000, 0.0000, 0.3432) [3 per cell]